Compound: KCaBiWO6
Source: Alexandria
Functional: PBE+U
Structure: relaxed

Cell and atoms, written as CIF:
```
data_KCaBiWO6
_chemical_formula_sum 'K4 Ca4 Bi4 W4 O24'
_space_group_name_H-M_alt 'F -4 3 m'
_space_group_IT_number 216
_space_group_name_Hall 'F -4 2 3'
_cell_length_a 8.513
_cell_length_b 8.513
_cell_length_c 8.513
_cell_angle_alpha 90.00
_cell_angle_beta 90.00
_cell_angle_gamma 90.00
loop_
_atom_site_label
_atom_site_fract_x
_atom_site_fract_y
_atom_site_fract_z
K1 0.000 0.000 0.000
Ca1 0.000 0.000 0.500
Bi1 0.250 0.250 0.750
W1 0.250 0.250 0.250
O1 0.021 0.250 0.250
```

Values from the calculation:
Energy, eV per atom: -6.32
D(E_F), states/eV/cell: 0.00